A geometry-optimized Ca2TbNiO6 structure. Source: the Alexandria database, functional PBE with a Hubbard U.

Structure (POSCAR):
```
Ca2TbNiO6
1.0
3.1712 -4.1661 -2.1679
0.6279 -4.8584 2.8486
-2.4604 -4.7375 -1.9012
Ni Ca O Tb
1 2 6 1
direct
0.0000 0.0000 0.0000
0.7500 0.7500 0.7500
0.2500 0.2500 0.2500
0.7708 0.7708 0.2292
0.2292 0.7708 0.2292
0.2292 0.7708 0.7708
0.7708 0.2292 0.2292
0.2292 0.2292 0.7708
0.7708 0.2292 0.7708
0.5000 0.5000 0.5000
```

Values from the calculation:
total DFT energy (no corrections): -6.103 eV/atom
magnetization: 0.74 μB/f.u.
crystal system: cubic